No. 1
Entry from Alexandria: Ho4ZnTc after structural relaxation (GGA-PBE).

Lattice parameters (Å, degrees): 6.249 7.483 7.483 112.66 98.41 98.41
Element x y z (fractional)
Ho 0.039 0.932 0.278
Ho 0.911 0.631 0.790
Ho 0.411 0.790 0.631
Zn 0.250 0.372 0.628
Tc 0.250 0.998 0.002
Zn 0.750 0.628 0.372
Ho 0.961 0.068 0.722
Ho 0.461 0.722 0.068
Ho 0.589 0.210 0.369
Tc 0.750 0.002 0.998
Ho 0.089 0.369 0.210
Ho 0.539 0.278 0.932

- Uncorrected energy: -62.1 eV for the cell shown
- Total magnetization: 0.000 μB/atom

=====

No. 2
Entry from Alexandria: Sr2CaCd9 after structural relaxation (GGA-PBE).

Lattice parameters (Å, degrees): 6.129 6.129 10.461 72.97 72.97 60.00
Element x y z (fractional)
Cd 0.923 0.414 0.249
Sr 0.858 0.858 0.426
Cd 0.500 0.500 0.500
Cd 0.665 0.665 0.005
Ca 0.000 0.000 0.000
Cd 0.077 0.586 0.751
Cd 0.335 0.335 0.995
Sr 0.142 0.142 0.574
Cd 0.586 0.077 0.751
Cd 0.414 0.414 0.249
Cd 0.414 0.923 0.249
Cd 0.586 0.586 0.751

- Uncorrected energy: -16.5 eV for the cell shown
- Total magnetization: 0.000 μB/atom

=====

No. 3
Entry from Alexandria: Bi3OsPb after structural relaxation (GGA-PBE).

Lattice parameters (Å, degrees): 5.380 5.380 5.380 90.00 90.00 90.00
Element x y z (fractional)
Bi 0.000 0.500 0.000
Bi 0.000 0.000 0.500
Bi 0.500 0.000 0.000
Os 0.000 0.000 0.000
Pb 0.500 0.500 0.500

- Uncorrected energy: -23.2 eV for the cell shown
- Total magnetization: 0.000 μB/atom

=====

No. 4
Entry from Alexandria: NaMg2Ag2 after structural relaxation (GGA-PBE).

Lattice parameters (Å, degrees): 8.332 8.332 3.042 90.00 90.00 90.00
Element x y z (fractional)
Na 0.000 0.000 0.000
Ag 0.665 0.835 0.500
Ag 0.835 0.335 0.500
Mg 0.131 0.369 0.000
Mg 0.869 0.631 0.000
Ag 0.165 0.665 0.500
Na 0.500 0.500 0.000
Mg 0.369 0.869 0.000
Ag 0.335 0.165 0.500
Mg 0.631 0.131 0.000

- Uncorrected energy: -21.7 eV for the cell shown
- Total magnetization: 0.000 μB/atom

=====

No. 5
Entry from Alexandria: Cs3CrSe4 after structural relaxation (GGA-PBE).

Lattice parameters (Å, degrees): 5.856 5.914 9.756 107.64 107.47 90.00
Element x y z (fractional)
Se 0.390 0.151 0.781
Cr 0.500 0.000 0.000
Se 0.390 0.630 0.781
Se 0.610 0.370 0.219
Se 0.610 0.849 0.219
Cs 0.198 0.198 0.395
Cs 0.000 0.500 0.000
Cs 0.802 0.802 0.605

- Formation energy without anion corrections: -0.7865 eV per atom
- Total magnetization: 0.427 μB/atom

=====

No. 6
Entry from Alexandria: MgScSnPb after structural relaxation (GGA-PBE).

Lattice parameters (Å, degrees): 5.187 5.187 5.187 60.00 60.00 60.00
Element x y z (fractional)
Sc 0.500 0.500 0.500
Pb 0.750 0.750 0.750
Mg 0.000 0.000 0.000
Sn 0.250 0.250 0.250

- Uncorrected energy: -16.3 eV for the cell shown
- Total magnetization: 0.000 μB/atom

=====

No. 7
Entry from Alexandria: SmSc after structural relaxation (GGA-PBE).

Lattice parameters (Å, degrees): 3.867 3.867 3.867 90.00 90.00 90.00
Element x y z (fractional)
Sc 0.500 0.500 0.500
Sm 0.000 0.000 0.000

- Uncorrected energy: -10.9 eV for the cell shown
- Total magnetization: 0.000 μB/atom

=====

No. 8
Entry from Alexandria: Ca2ScRe after structural relaxation (GGA-PBE).

Lattice parameters (Å, degrees): 5.082 5.082 5.071 120.28 120.28 89.67
Element x y z (fractional)
Re 0.500 0.500 0.000
Ca 0.250 0.750 0.500
Ca 0.000 0.000 0.000
Sc 0.750 0.250 0.500

- Uncorrected energy: -20.7 eV for the cell shown
- Total magnetization: 0.000 μB/atom

=====

No. 9
Entry from Alexandria: Ag2BiN2 after structural relaxation (GGA-PBE).

Lattice parameters (Å, degrees): 7.176 7.176 3.028 90.00 90.00 90.00
Element x y z (fractional)
N 0.815 0.315 0.500
Ag 0.631 0.131 0.000
Ag 0.869 0.631 0.000
N 0.685 0.815 0.500
Ag 0.369 0.869 0.000
Bi 0.000 0.000 0.000
Bi 0.500 0.500 0.000
N 0.315 0.185 0.500
Ag 0.131 0.369 0.000
N 0.185 0.685 0.500

- Formation energy without anion corrections: 1.5282 eV per atom
- Total magnetization: 0.000 μB/atom

=====

No. 10
Entry from Alexandria: Cs3Zn2I8 after structural relaxation (GGA-PBE).

Lattice parameters (Å, degrees): 8.170 8.170 12.010 70.11 70.11 60.00
Element x y z (fractional)
Cs 0.790 0.790 0.629
I 0.736 0.220 0.308
Cs 0.210 0.210 0.371
I 0.264 0.264 0.692
I 0.220 0.736 0.308
I 0.780 0.264 0.692
I 0.264 0.780 0.692
Cs 0.000 0.000 0.000
I 0.673 0.673 0.981
I 0.327 0.327 0.019
Zn 0.595 0.595 0.215
Zn 0.405 0.405 0.785
I 0.736 0.736 0.308

- Formation energy without anion corrections: -0.9595 eV per atom
- Total magnetization: 0.000 μB/atom

=====

No. 11
Entry from Alexandria: MgAlPt2 after structural relaxation (GGA-PBE).

Lattice parameters (Å, degrees): 2.916 4.578 4.578 97.66 90.00 90.00
Element x y z (fractional)
Al 0.500 0.000 0.000
Pt 0.000 0.500 0.000
Mg 0.500 0.500 0.500
Pt 0.000 0.000 0.500

- Uncorrected energy: -21.2 eV for the cell shown
- Total magnetization: 0.000 μB/atom

=====

No. 12
Entry from Alexandria: CsLaB3 after structural relaxation (GGA-PBE).

Lattice parameters (Å, degrees): 5.195 5.195 5.195 90.00 90.00 90.00
Element x y z (fractional)
B 0.000 0.000 0.500
La 0.000 0.000 0.000
Cs 0.500 0.500 0.500
B 0.000 0.500 0.000
B 0.500 0.000 0.000

- Uncorrected energy: -16.2 eV for the cell shown
- Total magnetization: 0.000 μB/atom

=====

No. 13
Entry from Alexandria: Mg2InCu after structural relaxation (GGA-PBE).

Lattice parameters (Å, degrees): 4.285 4.283 4.199 90.00 90.00 90.00
Element x y z (fractional)
Mg 0.000 0.000 0.000
Cu 0.500 0.000 0.500
In 0.000 0.500 0.500
Mg 0.500 0.500 0.000

- Uncorrected energy: -10.1 eV for the cell shown
- Total magnetization: 0.000 μB/atom

=====

No. 14
Entry from Alexandria: Sm2TeSe after structural relaxation (GGA-PBE).

Lattice parameters (Å, degrees): 4.166 7.545 7.288 90.00 90.00 90.00
Element x y z (fractional)
Sm 0.000 0.261 0.337
Te 0.000 0.500 0.000
Se 0.500 0.500 0.500
Sm 0.500 0.239 0.837
Sm 0.000 0.739 0.663
Sm 0.500 0.761 0.163
Te 0.500 0.000 0.500
Se 0.000 0.000 0.000

- Formation energy without anion corrections: -1.5293 eV per atom
- Total magnetization: 0.000 μB/atom

=====

No. 15
Entry from Alexandria: CeAgH8Ir2 after structural relaxation (GGA-PBE).

Lattice parameters (Å, degrees): 4.965 4.965 6.209 66.43 66.43 60.00
Element x y z (fractional)
H 0.417 0.636 0.854
Ir 0.707 0.707 0.878
H 0.364 0.908 0.146
H 0.636 0.092 0.854
H 0.583 0.364 0.146
H 0.191 0.191 0.426
Ag 0.000 0.000 0.000
H 0.908 0.583 0.146
H 0.092 0.417 0.854
Ce 0.500 0.500 0.500
H 0.809 0.809 0.574
Ir 0.293 0.293 0.122

- Uncorrected energy: -54.2 eV for the cell shown
- Total magnetization: 0.092 μB/atom

=====

No. 16
Entry from Alexandria: PmNd5Y6 after structural relaxation (GGA-PBE).

Lattice parameters (Å, degrees): 11.896 6.295 6.294 59.99 84.96 79.89
Element x y z (fractional)
Y 0.250 0.917 0.667
Nd 0.500 0.500 0.000
Y 0.250 0.250 0.000
Y 0.750 0.416 0.667
Nd 0.000 0.333 0.333
Y 0.750 0.750 0.000
Y 0.750 0.083 0.333
Nd 0.500 0.833 0.333
Y 0.250 0.584 0.333
Nd 0.500 0.167 0.667
Nd 0.000 0.667 0.667
Pm 0.000 0.000 0.000

- Uncorrected energy: -67.3 eV for the cell shown
- Total magnetization: 0.000 μB/atom

=====

No. 17
Entry from Alexandria: Li2In3Au5 after structural relaxation (GGA-PBE).

Lattice parameters (Å, degrees): 5.533 9.244 9.244 95.53 72.59 72.59
Element x y z (fractional)
Au 0.848 0.487 0.817
Au 0.501 0.749 0.749
Li 0.341 0.009 0.310
Au 0.652 0.183 0.513
Au 0.348 0.817 0.487
Au 0.001 0.749 0.749
In 0.750 0.000 0.000
In 0.596 0.636 0.172
Li 0.659 0.991 0.690
Au 0.250 0.500 0.500
Au 0.999 0.251 0.251
Li 0.841 0.310 0.009
Au 0.750 0.500 0.500
In 0.096 0.172 0.636
In 0.250 0.000 0.000
Au 0.499 0.251 0.251
In 0.904 0.828 0.364
In 0.404 0.364 0.828
Au 0.152 0.513 0.183
Li 0.159 0.690 0.991

- Uncorrected energy: -59.9 eV for the cell shown
- Total magnetization: 0.000 μB/atom

=====

No. 18
Entry from Alexandria: AcErTmCd after structural relaxation (GGA-PBE).

Lattice parameters (Å, degrees): 5.623 5.623 5.623 60.00 60.00 60.00
Element x y z (fractional)
Ac 0.500 0.500 0.500
Cd 0.750 0.750 0.750
Er 0.000 0.000 0.000
Tm 0.250 0.250 0.250

- Uncorrected energy: -14.0 eV for the cell shown
- Total magnetization: 0.000 μB/atom

=====

No. 19
Entry from Alexandria: ThHg2Br8 after structural relaxation (GGA-PBE).

Lattice parameters (Å, degrees): 7.667 7.697 10.817 108.99 90.00 119.87
Element x y z (fractional)
Br 0.038 0.077 0.745
Br 0.962 0.923 0.255
Th 0.000 0.000 0.000
Br 0.091 0.680 0.875
Hg 0.171 0.342 0.354
Br 0.909 0.320 0.125
Br 0.645 0.290 0.476
Hg 0.829 0.658 0.646
Br 0.355 0.710 0.524
Br 0.411 0.320 0.125
Br 0.589 0.680 0.875

- Formation energy without anion corrections: -0.9739 eV per atom
- Total magnetization: 0.000 μB/atom

=====

No. 20
Entry from Alexandria: SrSm2Gd after structural relaxation (GGA-PBE).

Lattice parameters (Å, degrees): 5.259 5.278 5.278 90.00 90.00 90.00
Element x y z (fractional)
Sr 0.500 0.000 0.000
Sm 0.000 0.000 0.500
Gd 0.500 0.500 0.500
Sm 0.000 0.500 0.000

- Uncorrected energy: -24.5 eV for the cell shown
- Total magnetization: 1.908 μB/atom